1.
## La2CdGeW (GGA-PBE)

Data for a relaxed La2CdGeW crystal.

Computed properties:
* calculated volume: 157.2 Å³ per cell
* total DFT energy (no corrections): -26.4 eV/cell
* formation energy: 0.378 eV per atom
* density: 6.8 Mg/m³
* DOS(E_F): 4.3 states/eV per cell

a = 5.7556 Å, b = 4.7440 Å, c = 5.7556 Å
α = 90.00°, β = 90.00°, γ = 90.00°
Fractional coordinates of all 5 atoms:
Ge 0.0000 0.0000 0.0000
W 0.0000 0.5000 0.0000
Cd 0.5000 0.5000 0.5000
La 0.0000 0.0000 0.5000
La 0.5000 0.0000 0.0000

2.
## LaYCdGe (GGA-PBE)

Data for a relaxed LaYCdGe crystal.

Computed properties:
* calculated volume: 104.6 Å³ per cell
* total DFT energy (no corrections): -19.0 eV/cell
* formation energy: -0.507 eV per atom
* density: 6.6 Mg/m³
* DOS(E_F): 2.6 states/eV per cell

a = 5.2881 Å, b = 5.2881 Å, c = 5.2881 Å
α = 60.00°, β = 60.00°, γ = 60.00°
Fractional coordinates of all 4 atoms:
La 0.0000 0.0000 0.0000
Y 0.5000 0.5000 0.5000
Ge 0.7500 0.7500 0.7500
Cd 0.2500 0.2500 0.2500

3.
## La2Zn4CdGe3 (GGA-PBE)

Data for a relaxed La2Zn4CdGe3 crystal.

Computed properties:
* calculated volume: 206.1 Å³ per cell
* total DFT energy (no corrections): -34.1 eV/cell
* formation energy: -0.442 eV per atom
* density: 7.0 Mg/m³
* DOS(E_F): 1.6 states/eV per cell

a = 4.3924 Å, b = 4.3924 Å, c = 10.6827 Å
α = 90.00°, β = 90.00°, γ = 90.00°
Fractional coordinates of all 10 atoms:
Zn 0.0000 0.5000 0.3619
Ge 0.0000 0.0000 0.5000
La 0.0000 0.5000 0.7565
Ge 0.5000 0.0000 0.8681
La 0.5000 0.0000 0.2435
Cd 0.5000 0.5000 0.5000
Zn 0.0000 0.0000 0.0000
Zn 0.5000 0.5000 0.0000
Zn 0.5000 0.0000 0.6381
Ge 0.0000 0.5000 0.1319

4.
## LiCd2Ge2 (GGA-PBE)

Data for a relaxed LiCd2Ge2 crystal.

Computed properties:
* ΔE to the lowest computed polymorph: 0.00 eV/f.u.
* calculated volume: 114.6 Å³ per cell
* total DFT energy (no corrections): -12.9 eV/cell
* formation energy: 0.007 eV per atom
* density: 5.5 Mg/m³
* DOS(E_F): 1.1 states/eV per cell

a = 4.4744 Å, b = 4.4744 Å, c = 6.5389 Å
α = 69.99°, β = 69.99°, γ = 90.00°
Fractional coordinates of all 5 atoms:
Ge 0.6056 0.6056 0.7888
Cd 0.7500 0.2500 0.5000
Cd 0.2500 0.7500 0.5000
Li 0.0000 0.0000 0.0000
Ge 0.3944 0.3944 0.2112

5.
## LiCd2Ge2 (GGA-PBE)

Data for a relaxed LiCd2Ge2 crystal.

Computed properties:
* ΔE to the lowest computed polymorph: 0.48 eV/f.u.
* calculated volume: 216.9 Å³ per cell
* total DFT energy (no corrections): -24.9 eV/cell
* formation energy: 0.103 eV per atom
* density: 5.8 Mg/m³
* DOS(E_F): 3.2 states/eV per cell

a = 8.0304 Å, b = 8.0304 Å, c = 3.3639 Å
α = 90.00°, β = 90.00°, γ = 90.00°
Fractional coordinates of all 10 atoms:
Cd 0.6342 0.1342 0.0000
Cd 0.3658 0.8658 0.0000
Li 0.5000 0.5000 0.0000
Ge 0.8322 0.3322 0.5000
Ge 0.6678 0.8322 0.5000
Cd 0.8658 0.6342 0.0000
Ge 0.1678 0.6678 0.5000
Ge 0.3322 0.1678 0.5000
Li 0.0000 0.0000 0.0000
Cd 0.1342 0.3658 0.0000

6.
## Li2CdGe2 (GGA-PBE)

Data for a relaxed Li2CdGe2 crystal.

Computed properties:
* ΔE to the lowest computed polymorph: 0.00 eV/f.u.
* calculated volume: 180.1 Å³ per cell
* total DFT energy (no corrections): -29.7 eV/cell
* formation energy: -0.175 eV per atom
* density: 5.0 Mg/m³
* DOS(E_F): 2.9 states/eV per cell

a = 7.5941 Å, b = 7.5941 Å, c = 3.1231 Å
α = 90.00°, β = 90.00°, γ = 90.00°
Fractional coordinates of all 10 atoms:
Li 0.8169 0.3169 0.5000
Ge 0.1174 0.3826 0.0000
Li 0.1831 0.6831 0.5000
Ge 0.8826 0.6174 0.0000
Li 0.6831 0.8169 0.5000
Ge 0.3826 0.8826 0.0000
Cd 0.0000 0.0000 0.0000
Li 0.3169 0.1831 0.5000
Ge 0.6174 0.1174 0.0000
Cd 0.5000 0.5000 0.0000

7.
## Li7Cd2Ge (GGA-PBE)

Data for a relaxed Li7Cd2Ge crystal.

Computed properties:
* calculated volume: 185.5 Å³ per cell
* total DFT energy (no corrections): -21.3 eV/cell
* formation energy: -0.145 eV per atom
* density: 3.1 Mg/m³
* DOS(E_F): 3.9 states/eV per cell

a = 4.5153 Å, b = 4.5153 Å, c = 10.5051 Å
α = 90.00°, β = 90.00°, γ = 120.00°
Fractional coordinates of all 10 atoms:
Cd 0.6667 0.3333 0.2390
Li 0.6667 0.3333 0.5300
Li 0.0000 0.0000 0.7808
Ge 0.0000 0.0000 0.0453
Li 0.3333 0.6667 0.9146
Li 0.3333 0.6667 0.3952
Li 0.0000 0.0000 0.3163
Cd 0.3333 0.6667 0.6557
Li 0.6667 0.3333 0.9666
Li 0.3333 0.6667 0.1399

8.
## Li12Cd5Ge2 (GGA-PBE)

Data for a relaxed Li12Cd5Ge2 crystal.

Computed properties:
* calculated volume: 340.6 Å³ per cell
* total DFT energy (no corrections): -40.8 eV/cell
* formation energy: -0.212 eV per atom
* density: 3.9 Mg/m³
* DOS(E_F): 5.3 states/eV per cell

a = 7.6447 Å, b = 7.5234 Å, c = 6.8763 Å
α = 90.43°, β = 90.00°, γ = 120.53°
Fractional coordinates of all 19 atoms:
Li 0.3433 0.3000 0.2392
Li 0.4192 0.2454 0.6777
Li 0.5808 0.7546 0.3223
Li 0.0889 0.1777 0.8896
Li 0.9111 0.8223 0.1104
Li 0.0433 0.7000 0.7608
Cd 0.2971 0.5941 0.0019
Li 0.6567 0.7000 0.7608
Li 0.8262 0.2454 0.6777
Li 0.4464 0.8929 0.6874
Li 0.9567 0.3000 0.2392
Li 0.1738 0.7546 0.3223
Cd 0.7029 0.4059 0.9981
Ge 0.3162 0.0000 0.0000
Cd 0.0000 0.0000 0.5000
Cd 0.2409 0.4818 0.5563
Ge 0.6838 0.0000 0.0000
Li 0.5536 0.1071 0.3126
Cd 0.7591 0.5182 0.4437

9.
## Li6CdGe (GGA-PBE)

Data for a relaxed Li6CdGe crystal.

Computed properties:
* calculated volume: 137.0 Å³ per cell
* total DFT energy (no corrections): -18.8 eV/cell
* formation energy: -0.217 eV per atom
* density: 2.7 Mg/m³
* DOS(E_F): 2.4 states/eV per cell

a = 4.6717 Å, b = 5.8033 Å, c = 5.8033 Å
α = 119.49°, β = 90.00°, γ = 90.00°
Fractional coordinates of all 8 atoms:
Li 0.5000 0.9148 0.5834
Li 0.0000 0.1115 0.4294
Li 0.5000 0.9144 0.0856
Li 0.0000 0.5720 0.4280
Li 0.5000 0.4166 0.0852
Cd 0.0000 0.0837 0.9163
Li 0.0000 0.5706 0.8885
Ge 0.5000 0.4160 0.5840

10.
## Li2CdGe2 (GGA-PBE)

Data for a relaxed Li2CdGe2 crystal.

Computed properties:
* ΔE to the lowest computed polymorph: 0.52 eV/f.u.
* calculated volume: 94.4 Å³ per cell
* total DFT energy (no corrections): -14.3 eV/cell
* formation energy: -0.071 eV per atom
* density: 4.8 Mg/m³
* DOS(E_F): 1.3 states/eV per cell

a = 3.9862 Å, b = 3.9862 Å, c = 6.5758 Å
α = 72.36°, β = 72.36°, γ = 90.00°
Fractional coordinates of all 5 atoms:
Ge 0.3990 0.3990 0.2021
Ge 0.6010 0.6010 0.7979
Li 0.2500 0.7500 0.5000
Cd 0.0000 0.0000 0.0000
Li 0.7500 0.2500 0.5000

11.
## Li8Cd2Ge (GGA-PBE)

Data for a relaxed Li8Cd2Ge crystal.

Computed properties:
* ΔE to the lowest computed polymorph: 0.00 eV/f.u.
* calculated volume: 190.1 Å³ per cell
* total DFT energy (no corrections): -24.3 eV/cell
* formation energy: -0.233 eV per atom
* density: 3.1 Mg/m³
* DOS(E_F): 3.5 states/eV per cell

a = 4.4807 Å, b = 5.7320 Å, c = 7.7750 Å
α = 95.95°, β = 106.75°, γ = 90.00°
Fractional coordinates of all 11 atoms:
Li 0.3307 0.0957 0.6613
Cd 0.2173 0.6455 0.4345
Li 0.6693 0.9043 0.3387
Li 0.5891 0.4335 0.1781
Li 0.1420 0.1623 0.2841
Cd 0.7827 0.3545 0.5655
Li 0.8580 0.8377 0.7159
Li 0.4109 0.5665 0.8219
Ge 0.5000 0.0000 0.0000
Li 0.9655 0.2378 0.9309
Li 0.0345 0.7622 0.0691

12.
## Li14CdGe (GGA-PBE)

Data for a relaxed Li14CdGe crystal.

Computed properties:
* calculated volume: 292.9 Å³ per cell
* total DFT energy (no corrections): -34.1 eV/cell
* formation energy: -0.111 eV per atom
* density: 1.6 Mg/m³
* DOS(E_F): 6.7 states/eV per cell

a = 6.7211 Å, b = 6.7211 Å, c = 6.4846 Å
α = 90.00°, β = 90.00°, γ = 90.00°
Fractional coordinates of all 16 atoms:
Li 0.1379 0.6122 0.7276
Li 0.3750 0.8750 0.0000
Li 0.8750 0.3750 0.0000
Li 0.1378 0.1378 0.2724
Li 0.8750 0.3750 0.5000
Li 0.3750 0.3750 0.0000
Li 0.6122 0.6122 0.7276
Ge 0.3750 0.3750 0.5000
Li 0.6122 0.1379 0.7276
Cd 0.8750 0.8750 0.5000
Li 0.8750 0.8750 0.0000
Li 0.1378 0.1378 0.7276
Li 0.1379 0.6122 0.2724
Li 0.3750 0.8750 0.5000
Li 0.6122 0.6122 0.2724
Li 0.6122 0.1379 0.2724